1.
GaReBi3 | PBE | relaxed

* V: 155.5 Å³/cell
* E_form: 787 meV per atom
* total magnetization: 0.00 μB per cell
* D(E_F): 1.17 states/eV per atom

Lattice parameters (Å, degrees): 5.378 5.378 5.378 90.00 90.00 90.00
Sites, in units of the cell vectors:
Re (0.000, 0.000, 0.000)
Bi (0.000, 0.500, 0.000)
Ga (0.500, 0.500, 0.500)
Bi (0.000, 0.000, 0.500)
Bi (0.500, 0.000, 0.000)

2.
AcS2Cl2 | PBE | relaxed

* V: 416.9 Å³/cell
* total magnetization: 0.00 μB per cell
* D(E_F): 0.00 states/eV per atom
* VASP energy: -48.2 eV per cell

Lattice parameters (Å, degrees): 7.864 7.445 8.434 81.99 62.21 72.60
Sites, in units of the cell vectors:
S (0.924, 0.743, 0.000)
Ac (0.172, 0.500, 0.655)
Cl (0.559, 0.259, 0.438)
S (0.231, 0.425, 0.000)
Cl (0.441, 0.741, 0.562)
S (0.769, 0.575, 0.000)
Ac (0.828, 0.500, 0.345)
Cl (0.997, 0.259, 0.562)
Cl (0.003, 0.741, 0.438)
S (0.076, 0.257, 0.000)

3.
NbTl3I2F6 | PBE | relaxed

* V: 374.1 Å³/cell
* total magnetization: 0.00 μB per cell
* VASP energy: -56.3 eV per cell

Lattice parameters (Å, degrees): 5.420 8.010 9.542 114.82 95.17 90.00
Sites, in units of the cell vectors:
Tl (0.500, 0.500, 0.500)
F (0.449, 0.110, 0.220)
Tl (0.500, 0.000, 0.500)
F (0.746, 0.845, 0.039)
F (0.746, 0.194, 0.039)
Nb (0.500, 0.000, 0.000)
I (0.017, 0.304, 0.608)
I (0.983, 0.696, 0.392)
F (0.254, 0.806, 0.961)
Tl (0.000, 0.500, 0.000)
F (0.254, 0.155, 0.961)
F (0.551, 0.890, 0.780)

4.
PmY5HoTh2 | PBE | relaxed

* V: 604.9 Å³/cell
* E_form: 329 meV per atom
* total magnetization: 0.00 μB per cell
* D(E_F): 1.43 states/eV per atom

Lattice parameters (Å, degrees): 8.895 8.895 9.900 116.69 116.69 90.00
Sites, in units of the cell vectors:
Y (0.000, 0.000, 0.000)
Th (0.882, 0.618, 0.000)
Y (0.346, 0.846, 0.275)
Th (0.118, 0.382, 0.000)
Y (0.154, 0.071, 0.725)
Y (0.429, 0.346, 0.275)
Ho (0.250, 0.750, 0.500)
Y (0.929, 0.429, 0.275)
Y (0.071, 0.571, 0.725)
Th (0.618, 0.118, 0.000)
Y (0.500, 0.500, 0.000)
Ho (0.750, 0.250, 0.500)
Pm (0.250, 0.250, 0.500)
Pm (0.750, 0.750, 0.500)
Y (0.846, 0.929, 0.275)
Y (0.571, 0.654, 0.725)
Y (0.654, 0.154, 0.725)
Th (0.382, 0.882, 0.000)

- Among the records above, which one has the lowest V?
  GaReBi3